## P
Material: LiSmNO
Method: DFT, GGA-PBE
State: optimized geometry

abc: 6.7059 5.7844 4.7393
angles: 90.00 90.00 90.00
Sites, in units of the cell vectors:
Li: 0.1029 0.0158 0.2500
Li: 0.1029 0.4842 0.7500
Li: 0.8971 0.5158 0.2500
Li: 0.8971 0.9842 0.7500
Sm: 0.2912 0.0196 0.7500
Sm: 0.2912 0.4804 0.2500
Sm: 0.7088 0.5196 0.7500
Sm: 0.7088 0.9804 0.2500
N: 0.0332 0.7500 0.0000
N: 0.0332 0.7500 0.5000
N: 0.9668 0.2500 0.0000
N: 0.9668 0.2500 0.5000
O: 0.3777 0.0816 0.2500
O: 0.3777 0.4184 0.7500
O: 0.6223 0.5816 0.2500
O: 0.6223 0.9184 0.7500

## Q
Material: LiSmNO
Method: DFT, GGA-PBE
State: optimized geometry

abc: 7.3083 5.2997 4.8407
angles: 90.00 90.00 90.00
Sites, in units of the cell vectors:
Li: 0.0785 0.0356 0.2500
Li: 0.0785 0.4644 0.7500
Li: 0.9215 0.5356 0.2500
Li: 0.9215 0.9644 0.7500
Sm: 0.3162 0.5145 0.2500
Sm: 0.3162 0.9854 0.7500
Sm: 0.6838 0.0146 0.2500
Sm: 0.6838 0.4854 0.7500
N: 0.3630 0.0659 0.2500
N: 0.3630 0.4341 0.7500
N: 0.6370 0.5659 0.2500
N: 0.6370 0.9341 0.7500
O: 0.0746 0.7500 0.0000
O: 0.0746 0.7500 0.5000
O: 0.9254 0.2500 0.0000
O: 0.9254 0.2500 0.5000

## R
Material: LiSmNO
Method: DFT, GGA-PBE
State: optimized geometry

abc: 3.4525 3.5626 4.3145
angles: 90.00 90.10 90.00
Sites, in units of the cell vectors:
Li: 0.0000 0.0000 0.0000
Sm: 0.4445 0.5000 0.5000
N: 0.9163 0.0000 0.5000
O: 0.2420 0.5000 0.0000

## S
Material: LiSmNO
Method: DFT, GGA-PBE
State: optimized geometry

abc: 3.9235 6.3960 4.7276
angles: 90.00 90.00 90.00
Sites, in units of the cell vectors:
Li: 0.0000 0.1591 0.0000
Li: 0.0000 0.8409 0.5000
Sm: 0.5000 0.2865 0.4728
Sm: 0.5000 0.7135 0.9728
N: 0.5000 0.3428 0.9675
N: 0.5000 0.6572 0.4675
O: 0.0000 0.1343 0.4157
O: 0.0000 0.8657 0.9157

How do the energies compare? Relative to the most stable structure, in meV per atom: P 0; Q 147; R 116; S 125.

## P
Material: LiTcNO
Method: DFT, GGA-PBE
State: optimized geometry

abc: 2.8924 5.7305 5.4129
angles: 90.00 90.00 90.00
Sites, in units of the cell vectors:
Li: 0.0000 0.1592 0.0000
Li: 0.0000 0.8408 0.5000
Tc: 0.5000 0.3483 0.5054
Tc: 0.5000 0.6517 0.0054
N: 0.5000 0.3694 0.8477
N: 0.5000 0.6306 0.3477
O: 0.0000 0.1429 0.3571
O: 0.0000 0.8571 0.8571

## Q
Material: LiTcNO
Method: DFT, GGA-PBE
State: optimized geometry

abc: 5.4534 6.9039 4.9095
angles: 90.00 90.00 90.00
Sites, in units of the cell vectors:
Li: 0.1143 0.1431 0.0000
Li: 0.3857 0.1431 0.5000
Li: 0.6143 0.8569 0.0000
Li: 0.8857 0.8569 0.5000
Tc: 0.1398 0.6650 0.0169
Tc: 0.3602 0.6650 0.5169
Tc: 0.6398 0.3350 0.0169
Tc: 0.8602 0.3350 0.5169
N: 0.0164 0.1258 0.5818
N: 0.4836 0.1258 0.0818
N: 0.5164 0.8742 0.5818
N: 0.9836 0.8742 0.0818
O: 0.0073 0.5927 0.6267
O: 0.4927 0.5927 0.1267
O: 0.5073 0.4073 0.6267
O: 0.9927 0.4073 0.1267

How do the energies compare? Relative to the most stable structure, in meV per atom: P 0; Q 192.

## P
Material: LiTcNO
Method: DFT, GGA-PBE
State: optimized geometry

abc: 3.2602 5.4586 5.0796
angles: 90.00 90.00 90.00
Sites, in units of the cell vectors:
Li: 0.0000 0.1270 0.0000
Li: 0.0000 0.8730 0.5000
Tc: 0.5000 0.3927 0.4803
Tc: 0.5000 0.6073 0.9803
N: 0.0000 0.2452 0.4008
N: 0.0000 0.7548 0.9008
O: 0.5000 0.2634 0.8616
O: 0.5000 0.7366 0.3616

## Q
Material: LiTcNO
Method: DFT, GGA-PBE
State: optimized geometry

abc: 2.9131 2.9131 4.1281
angles: 90.00 90.00 90.00
Sites, in units of the cell vectors:
Li: 0.0000 0.0000 0.0000
Tc: 0.5000 0.5000 0.5000
N: 0.0000 0.0000 0.5000
O: 0.5000 0.5000 0.0000

## R
Material: LiTcNO
Method: DFT, GGA-PBE
State: optimized geometry

abc: 3.1248 3.1248 7.3073
angles: 90.00 90.00 90.00
Sites, in units of the cell vectors:
Li: 0.2500 0.7500 0.0000
Li: 0.7500 0.2500 0.0000
Tc: 0.2500 0.2500 0.3189
Tc: 0.7500 0.7500 0.6811
N: 0.2500 0.2500 0.8126
N: 0.7500 0.7500 0.1874
O: 0.2500 0.7500 0.5000
O: 0.7500 0.2500 0.5000

How do the energies compare? Relative to the most stable structure, in meV per atom: P 23; Q 0; R 772.

## P
Material: LiTmNO
Method: DFT, GGA-PBE
State: optimized geometry

abc: 5.9899 7.3231 4.6731
angles: 90.00 90.00 90.00
Sites, in units of the cell vectors:
Li: 0.0840 0.0930 0.0000
Li: 0.4160 0.0930 0.5000
Li: 0.5840 0.9070 0.0000
Li: 0.9160 0.9070 0.5000
Tm: 0.0472 0.6609 0.0117
Tm: 0.4528 0.6609 0.5117
Tm: 0.5472 0.3391 0.0117
Tm: 0.9528 0.3391 0.5117
N: 0.0811 0.6296 0.5120
N: 0.4189 0.6296 0.0120
N: 0.5811 0.3704 0.5120
N: 0.9189 0.3704 0.0120
O: 0.1125 0.0962 0.5912
O: 0.3875 0.0962 0.0912
O: 0.6125 0.9038 0.5912
O: 0.8875 0.9038 0.0912

## Q
Material: LiTmNO
Method: DFT, GGA-PBE
State: optimized geometry

abc: 3.7279 6.4924 4.4672
angles: 90.00 90.00 90.00
Sites, in units of the cell vectors:
Li: 0.0000 0.1496 0.0000
Li: 0.0000 0.8504 0.5000
Tm: 0.5000 0.3017 0.4938
Tm: 0.5000 0.6983 0.9938
N: 0.5000 0.3487 0.9940
N: 0.5000 0.6513 0.4940
O: 0.0000 0.1470 0.4882
O: 0.0000 0.8530 0.9882

How do the energies compare? Relative to the most stable structure, in meV per atom: P 138; Q 0.

## P
Material: LiTmNO
Method: DFT, GGA-PBE
State: optimized geometry

abc: 3.6261 3.6261 7.1023
angles: 90.00 90.00 90.00
Sites, in units of the cell vectors:
Li: 0.2500 0.7500 0.0000
Li: 0.7500 0.2500 0.0000
Tm: 0.2500 0.2500 0.3364
Tm: 0.7500 0.7500 0.6636
N: 0.2500 0.2500 0.8637
N: 0.7500 0.7500 0.1363
O: 0.2500 0.7500 0.5000
O: 0.7500 0.2500 0.5000

## Q
Material: LiTmNO
Method: DFT, GGA-PBE
State: optimized geometry

abc: 4.6540 4.6540 4.3682
angles: 90.00 90.00 90.00
Sites, in units of the cell vectors:
Li: 0.2500 0.2500 0.0000
Li: 0.7500 0.7500 0.0000
Tm: 0.2500 0.7500 0.5000
Tm: 0.7500 0.2500 0.5000
N: 0.2500 0.2500 0.4986
N: 0.7500 0.7500 0.5014
O: 0.2500 0.7500 0.0000
O: 0.7500 0.2500 0.0000

## R
Material: LiTmNO
Method: DFT, GGA-PBE
State: optimized geometry

abc: 6.4255 5.7652 4.5157
angles: 90.00 90.00 90.00
Sites, in units of the cell vectors:
Li: 0.0988 0.0284 0.2500
Li: 0.0988 0.4716 0.7500
Li: 0.9012 0.5284 0.2500
Li: 0.9012 0.9716 0.7500
Tm: 0.3000 0.0189 0.7500
Tm: 0.3000 0.4811 0.2500
Tm: 0.7000 0.5189 0.7500
Tm: 0.7000 0.9811 0.2500
N: 0.0618 0.7500 0.0000
N: 0.0618 0.7500 0.5000
N: 0.9382 0.2500 0.0000
N: 0.9382 0.2500 0.5000
O: 0.3826 0.1002 0.2500
O: 0.3826 0.3998 0.7500
O: 0.6174 0.6002 0.2500
O: 0.6174 0.8998 0.7500

How do the energies compare? Relative to the most stable structure, in meV per atom: P 186; Q 41; R 0.

## P
Material: LiZrNO
Method: DFT, GGA-PBE
State: optimized geometry

abc: 3.7437 5.9366 4.3951
angles: 90.00 90.00 90.00
Sites, in units of the cell vectors:
Li: 0.0000 0.1668 0.0000
Li: 0.0000 0.8332 0.5000
Zr: 0.5000 0.3138 0.4968
Zr: 0.5000 0.6862 0.9968
N: 0.5000 0.3375 0.9963
N: 0.5000 0.6625 0.4963
O: 0.0000 0.1655 0.4941
O: 0.0000 0.8345 0.9941

## Q
Material: LiZrNO
Method: DFT, GGA-PBE
State: optimized geometry

abc: 5.3040 6.4596 5.8524
angles: 90.00 90.00 90.00
Sites, in units of the cell vectors:
Li: 0.2339 0.1323 0.0000
Li: 0.2661 0.1323 0.5000
Li: 0.7339 0.8677 0.0000
Li: 0.7661 0.8677 0.5000
Zr: 0.2499 0.6715 0.2482
Zr: 0.2501 0.6715 0.7482
Zr: 0.7499 0.3285 0.2482
Zr: 0.7501 0.3285 0.7482
N: 0.1006 0.8498 0.9982
N: 0.3994 0.8498 0.4982
N: 0.6006 0.1502 0.9982
N: 0.8994 0.1502 0.4982
O: 0.0418 0.4024 0.9983
O: 0.4582 0.4024 0.4983
O: 0.5419 0.5976 0.9983
O: 0.9582 0.5976 0.4983

How do the energies compare? Relative to the most stable structure, in meV per atom: P 0; Q 272.

## P
Material: LiZrNO
Method: DFT, GGA-PBE
State: optimized geometry

abc: 3.3997 5.8087 5.4183
angles: 90.00 90.00 90.00
Sites, in units of the cell vectors:
Li: 0.0000 0.1657 0.0000
Li: 0.0000 0.8343 0.5000
Zr: 0.5000 0.3145 0.5031
Zr: 0.5000 0.6855 0.0031
N: 0.0000 0.1661 0.3788
N: 0.0000 0.8339 0.8788
O: 0.5000 0.3485 0.8830
O: 0.5000 0.6515 0.3830

## Q
Material: LiZrNO
Method: DFT, GGA-PBE
State: optimized geometry

abc: 3.2906 3.2906 7.4658
angles: 90.00 90.00 90.00
Sites, in units of the cell vectors:
Li: 0.2500 0.7500 0.0000
Li: 0.7500 0.2500 0.0000
Zr: 0.2500 0.2500 0.3204
Zr: 0.7500 0.7500 0.6796
N: 0.2500 0.2500 0.8231
N: 0.7500 0.7500 0.1769
O: 0.2500 0.7500 0.5000
O: 0.7500 0.2500 0.5000

## R
Material: LiZrNO
Method: DFT, GGA-PBE
State: optimized geometry

abc: 4.4644 4.4644 4.2464
angles: 90.00 90.00 90.00
Sites, in units of the cell vectors:
Li: 0.2500 0.2500 0.0015
Li: 0.7500 0.7500 0.9985
Zr: 0.2500 0.7500 0.5000
Zr: 0.7500 0.2500 0.5000
N: 0.2500 0.2500 0.5009
N: 0.7500 0.7500 0.4991
O: 0.2500 0.7500 0.0000
O: 0.7500 0.2500 0.0000

How do the energies compare? Relative to the most stable structure, in meV per atom: P 173; Q 452; R 0.

## P
Material: NaLiNiW
Method: DFT, GGA-PBE
State: optimized geometry

abc: 4.3181 4.3181 4.3181
angles: 60.00 60.00 60.00
Sites, in units of the cell vectors:
Na: 0.0000 0.0000 0.0000
Li: 0.2500 0.2500 0.2500
Ni: 0.5000 0.5000 0.5000
W: 0.7500 0.7500 0.7500

## Q
Material: NaLiNiW
Method: DFT, GGA-PBE
State: optimized geometry

abc: 4.3306 4.3306 4.3306
angles: 60.00 60.00 60.00
Sites, in units of the cell vectors:
Na: 0.0000 0.0000 0.0000
Li: 0.7500 0.7500 0.7500
Ni: 0.2500 0.2500 0.2500
W: 0.5000 0.5000 0.5000

How do the energies compare? Relative to the most stable structure, in meV per atom: P 16; Q 0.